PaSi2W | PBE-GGA | relaxed

abc: 3.1238 3.1238 25.5099
angles: 90.00 90.00 120.00
With the nearest neighbours (Å) after each atom.
Space group R-3m (No. 166, hexagonal axes)
One atom of each set of equivalent atoms:
Pa 0.0000 0.0000 0.0000 [3 per cell]  6 Si 3.03, 6 Pa 3.12
Si 0.0000 0.0000 0.2379 [6 per cell]  3 W 2.56
W 0.0000 0.0000 0.5000 [3 per cell]  6 Si 2.56

Summary:
The value obtained for the spin magnetization is 0.0002 μB/atom. Its density of states at the Fermi level is 4.685 states/eV/f.u. The calculated volume is 216 Å³ per cell. The raw formation energy is 0.068 eV/atom.